CeTm2Ge2Rh5 | PBE-GGA | optimized geometry

The structure in CIF format:
```
data_CeTm2Ge2Rh5
_chemical_formula_sum 'Ce2 Tm4 Ge4 Rh10'
_space_group_name_H-M_alt 'P 1'
_space_group_IT_number 1
_cell_length_a 9.807
_cell_length_b 9.807
_cell_length_c 3.731
_cell_angle_alpha 90.00
_cell_angle_beta 90.00
_cell_angle_gamma 90.00
loop_
_space_group_symop_operation_xyz
'x,y,z'
loop_
_atom_site_label
_atom_site_type_symbol
_atom_site_fract_x
_atom_site_fract_y
_atom_site_fract_z
Ce1 Ce 0.000 0.000 0.000
Ce2 Ce 0.500 0.500 0.000
Tm1 Tm 0.170 0.330 0.000
Tm2 Tm 0.330 0.830 0.000
Tm3 Tm 0.670 0.170 0.000
Tm4 Tm 0.830 0.670 0.000
Ge1 Ge 0.127 0.627 0.000
Ge2 Ge 0.373 0.127 0.000
Ge3 Ge 0.627 0.873 0.000
Ge4 Ge 0.873 0.373 0.000
Rh1 Rh 0.000 0.500 0.500
Rh2 Rh 0.069 0.788 0.500
Rh3 Rh 0.212 0.069 0.500
Rh4 Rh 0.288 0.569 0.500
Rh5 Rh 0.431 0.288 0.500
Rh6 Rh 0.500 0.000 0.500
Rh7 Rh 0.569 0.712 0.500
Rh8 Rh 0.712 0.431 0.500
Rh9 Rh 0.788 0.931 0.500
Rh10 Rh 0.931 0.212 0.500
```

Values from the calculation:
- Space group: No. 127
- Uncorrected energy: -138.958 eV for the cell shown
- Calculated formation energy: -861.0 meV/atom



CeYGe2Rh5 | PBE-GGA | optimized geometry

The structure in CIF format:
```
data_CeYGe2Rh5
_chemical_formula_sum 'Ce1 Y1 Ge2 Rh5'
_space_group_name_H-M_alt 'P 1'
_space_group_IT_number 1
_cell_length_a 3.951
_cell_length_b 3.951
_cell_length_c 11.721
_cell_angle_alpha 90.00
_cell_angle_beta 90.00
_cell_angle_gamma 90.00
loop_
_space_group_symop_operation_xyz
'x,y,z'
loop_
_atom_site_label
_atom_site_type_symbol
_atom_site_fract_x
_atom_site_fract_y
_atom_site_fract_z
Ce1 Ce 0.000 0.000 0.000
Y1 Y 0.500 0.500 0.500
Ge1 Ge 0.000 0.000 0.296
Ge2 Ge 0.000 0.000 0.704
Rh1 Rh 0.000 0.000 0.500
Rh2 Rh 0.000 0.500 0.170
Rh3 Rh 0.000 0.500 0.830
Rh4 Rh 0.500 0.000 0.170
Rh5 Rh 0.500 0.000 0.830
```

Values from the calculation:
- Space group: No. 123
- Uncorrected energy: -61.979 eV for the cell shown
- Calculated formation energy: -398.8 meV/atom



Ce2ZnGe2Rh5 | PBE-GGA | optimized geometry

The structure in CIF format:
```
data_Ce2ZnGe2Rh5
_chemical_formula_sum 'Ce4 Zn2 Ge4 Rh10'
_space_group_name_H-M_alt 'P 1'
_space_group_IT_number 1
_cell_length_a 9.861
_cell_length_b 9.861
_cell_length_c 3.589
_cell_angle_alpha 90.00
_cell_angle_beta 90.00
_cell_angle_gamma 90.00
loop_
_space_group_symop_operation_xyz
'x,y,z'
loop_
_atom_site_label
_atom_site_type_symbol
_atom_site_fract_x
_atom_site_fract_y
_atom_site_fract_z
Ce1 Ce 0.175 0.325 0.000
Ce2 Ce 0.325 0.825 0.000
Ce3 Ce 0.675 0.175 0.000
Ce4 Ce 0.825 0.675 0.000
Zn1 Zn 0.000 0.000 0.000
Zn2 Zn 0.500 0.500 0.000
Ge1 Ge 0.125 0.625 0.000
Ge2 Ge 0.375 0.125 0.000
Ge3 Ge 0.625 0.875 0.000
Ge4 Ge 0.875 0.375 0.000
Rh1 Rh 0.000 0.500 0.500
Rh2 Rh 0.064 0.792 0.500
Rh3 Rh 0.208 0.064 0.500
Rh4 Rh 0.292 0.564 0.500
Rh5 Rh 0.436 0.292 0.500
Rh6 Rh 0.500 0.000 0.500
Rh7 Rh 0.564 0.708 0.500
Rh8 Rh 0.708 0.436 0.500
Rh9 Rh 0.792 0.936 0.500
Rh10 Rh 0.936 0.208 0.500
```

Values from the calculation:
- Space group: No. 127
- Uncorrected energy: -131.160 eV for the cell shown
- Calculated formation energy: -644.6 meV/atom



Ce2ZnGe6Rh | PBE-GGA | optimized geometry

The structure in CIF format:
```
data_Ce2ZnGe6Rh
_chemical_formula_sum 'Ce4 Zn2 Ge12 Rh2'
_space_group_name_H-M_alt 'P 1'
_space_group_IT_number 1
_cell_length_a 6.780
_cell_length_b 8.831
_cell_length_c 6.943
_cell_angle_alpha 90.00
_cell_angle_beta 90.00
_cell_angle_gamma 90.00
loop_
_space_group_symop_operation_xyz
'x,y,z'
loop_
_atom_site_label
_atom_site_type_symbol
_atom_site_fract_x
_atom_site_fract_y
_atom_site_fract_z
Ce1 Ce 0.250 0.008 0.233
Ce2 Ce 0.250 0.492 0.233
Ce3 Ce 0.750 0.508 0.767
Ce4 Ce 0.750 0.992 0.767
Zn1 Zn 0.250 0.750 0.921
Zn2 Zn 0.750 0.250 0.079
Ge1 Ge 0.060 0.750 0.573
Ge2 Ge 0.063 0.250 0.915
Ge3 Ge 0.250 0.507 0.737
Ge4 Ge 0.250 0.993 0.737
Ge5 Ge 0.437 0.250 0.915
Ge6 Ge 0.440 0.750 0.573
Ge7 Ge 0.560 0.250 0.427
Ge8 Ge 0.563 0.750 0.085
Ge9 Ge 0.750 0.007 0.263
Ge10 Ge 0.750 0.493 0.263
Ge11 Ge 0.937 0.750 0.085
Ge12 Ge 0.940 0.250 0.427
Rh1 Rh 0.250 0.250 0.589
Rh2 Rh 0.750 0.750 0.411
```

Values from the calculation:
- Space group: No. 59
- Uncorrected energy: -102.992 eV for the cell shown
- Calculated formation energy: -329.9 meV/atom